Record 1
The following is a PBE-GGA calculation of an optimized crystal structure of Zr3W, from Alexandria via LeMat-Bulk.

Output
**Formation energy from the elements**: 11 kJ per mole of atoms

Lattice parameters (Å, degrees): 3.3870 3.3870 7.3409 90.00 90.00 90.00
Last column: nearest neighbours and their distance in Å.
Space group P4/mmm (No. 123)
Unique sites:
Zr: 0.0000 0.0000 0.0000  12 Zr 3.16-3.39
Zr: 0.5000 0.5000 0.2807  4 W 2.89, 5 Zr 3.16-3.22
W: 0.0000 0.0000 0.5000  8 Zr 2.89


Record 2
The following is a PBE-GGA calculation of an optimized crystal structure of KPbCl2, from Alexandria via LeMat-Bulk.

Output
**Uncorrected formation energy**: -4.5 eV per formula unit

Lattice parameters (Å, degrees): 4.4892 4.4892 6.3585 90.00 90.00 90.00
Last column: nearest neighbours and their distance in Å.
Space group P4/mmm (No. 123)
Unique sites:
K: 0.0000 0.0000 0.0000  6 Cl 3.17-3.18
Pb: 0.5000 0.5000 0.5000  6 Cl 3.17-3.18
Cl: 0.0000 0.0000 0.5000  4 Pb 3.17, 2 K 3.18
Cl: 0.5000 0.5000 0.0000  4 K 3.17, 2 Pb 3.18


Record 3
The following is a PBE-GGA calculation of an optimized crystal structure of YCuRe2, from Alexandria via LeMat-Bulk.

Output
**Formation energy from the elements**: 65 kJ per mole of atoms

Lattice parameters (Å, degrees): 2.8220 2.8220 29.0156 90.00 90.00 120.00
Last column: nearest neighbours and their distance in Å.
Space group R-3m (No. 166, hexagonal axes)
Unique sites:
Y: 0.0000 0.0000 0.0000  6 Y 2.82, 6 Re 3.16
Cu: 0.0000 0.0000 0.5000  6 Re 2.68, 6 Cu 2.82
Re: 0.0000 0.0000 0.2401  3 Cu 2.68, 6 Re 2.82


Record 4
The following is a PBE-GGA calculation of an optimized crystal structure of Re2TcCl, from Alexandria via LeMat-Bulk.

Output
**Uncorrected formation energy**: 1.7 eV per formula unit

Lattice parameters (Å, degrees): 2.8353 2.8353 25.8054 90.00 90.00 120.00
Last column: nearest neighbours and their distance in Å.
Space group R-3m (No. 166, hexagonal axes)
Unique sites:
Re: 0.0000 0.0000 0.2500  3 Cl 2.70, 3 Tc 2.70, 6 Re 2.84
Tc: 0.0000 0.0000 0.0000  6 Re 2.70, 6 Tc 2.84
Cl: 0.0000 0.0000 0.5000  6 Re 2.70, 6 Cl 2.84


Number 1: offset from the most stable computed form 17 meV per atom. Number 2: offset from the most stable computed form 123 meV per atom. Number 3: offset from the most stable computed form 594 meV per atom. Number 4: offset from the most stable computed form 98 meV per atom.